Record 1
Computed, not measured: a relaxed structure of KLiP at the PBE-GGA level of DFT.

Summary:
excess energy over the best structure of this formula in the dataset = 0.246 eV/atom
density = 1.8 g/cm3

a b c (Å): 6.177 6.177 3.577
angles (deg): 73.16 73.18 33.66
Fractional coordinates of all 3 atoms:
P (0.718, 0.718, 0.282)
K (0.013, 0.013, 0.987)
Li (0.269, 0.269, 0.731)

***

Record 2
Computed, not measured: a relaxed structure of LiScOs2 at the PBE-GGA level of DFT.

Summary:
excess energy over the best structure of this formula in the dataset = 0.059 eV/atom
density = 11.9 g/cm3

a b c (Å): 4.319 2.793 5.099
angles (deg): 78.66 90.00 90.00
Fractional coordinates of all 4 atoms:
Sc (0.000, 0.478, 0.538)
Li (0.500, 0.874, 0.733)
Os (0.000, 0.882, 0.032)
Os (0.500, 0.267, 0.198)

***

Record 3
Computed, not measured: a relaxed structure of CdFePb at the PBE-GGA level of DFT.

Summary:
excess energy over the best structure of this formula in the dataset = 0.048 eV/atom
density = 9.6 g/cm3

a b c (Å): 3.211 3.211 7.268
angles (deg): 90.00 90.00 120.00
Fractional coordinates of all 3 atoms:
Pb (0.333, 0.667, 0.637)
Fe (0.667, 0.333, 0.325)
Cd (0.000, 0.000, 0.038)

***

Record 4
Computed, not measured: a relaxed structure of Ba2LiCaAg at the PBE-GGA level of DFT.

Summary:
excess energy over the best structure of this formula in the dataset = 0.000 eV/atom
density = 2.9 g/cm3

a b c (Å): 6.472 6.472 5.894
angles (deg): 90.00 90.00 90.00
Fractional coordinates of all 5 atoms:
Ag (0.000, 0.000, 0.000)
Ba (0.500, 0.000, 0.000)
Li (0.500, 0.500, 0.500)
Ba (0.000, 0.500, 0.000)
Ca (0.000, 0.000, 0.500)

***

Record 5
Computed, not measured: a relaxed structure of Hf2MoPt2 at the PBE-GGA level of DFT.

Summary:
DFT total energy = -91.48 eV/cell
density = 15.2 g/cm3

a b c (Å): 7.564 7.564 3.220
angles (deg): 90.00 90.00 90.00
Fractional coordinates of all 10 atoms:
Pt (0.870, 0.630, 0.000)
Hf (0.329, 0.171, 0.500)
Pt (0.630, 0.130, 0.000)
Hf (0.171, 0.671, 0.500)
Hf (0.671, 0.829, 0.500)
Mo (0.500, 0.500, 0.000)
Mo (0.000, 0.000, 0.000)
Hf (0.829, 0.329, 0.500)
Pt (0.130, 0.370, 0.000)
Pt (0.370, 0.870, 0.000)

***

Record 6
Computed, not measured: a relaxed structure of Ca4Ac2Nd at the PBE-GGA level of DFT.

Summary:
DFT total energy = -20.58 eV/cell
density = 4.3 g/cm3

a b c (Å): 6.138 6.142 9.582
angles (deg): 108.61 90.00 60.02
Fractional coordinates of all 7 atoms:
Ac (0.709, 0.583, 0.874)
Ca (0.860, 0.279, 0.419)
Ca (0.430, 0.140, 0.709)
Nd (0.000, 0.000, 0.000)
Ac (0.291, 0.417, 0.126)
Ca (0.140, 0.721, 0.581)
Ca (0.570, 0.860, 0.291)

***

Record 7
Computed, not measured: a relaxed structure of ThAsH2 at the PBE-GGA level of DFT.

Summary:
excess energy over the best structure of this formula in the dataset = 0.000 eV/atom
density = 8.5 g/cm3

a b c (Å): 3.987 5.744 5.589
angles (deg): 90.00 90.00 110.33
Fractional coordinates of all 8 atoms:
H (0.729, 0.457, 0.917)
H (0.271, 0.543, 0.417)
Th (0.837, 0.674, 0.250)
Th (0.163, 0.326, 0.750)
As (0.549, 0.096, 0.250)
H (0.729, 0.457, 0.583)
H (0.271, 0.543, 0.083)
As (0.451, 0.904, 0.750)

***

Record 8
Computed, not measured: a relaxed structure of HoSeI at the PBE-GGA level of DFT.

Summary:
density = 5.5 g/cm3
formation energy (no corrections) = -1.633 eV/atom

a b c (Å): 4.220 4.220 7.218
angles (deg): 90.00 90.00 120.00
Fractional coordinates of all 3 atoms:
Se (0.333, 0.667, 0.549)
Ho (0.667, 0.333, 0.367)
I (0.000, 0.000, 0.085)

***

Record 9
Computed, not measured: a relaxed structure of AlCrCl2 at the PBE-GGA level of DFT.

Summary:
excess energy over the best structure of this formula in the dataset = 0.471 eV/atom
density = 2.9 g/cm3
formation energy (no corrections) = -0.084 eV/atom

a b c (Å): 3.196 3.196 8.437
angles (deg): 90.00 90.00 90.00
Fractional coordinates of all 4 atoms:
Cr (0.500, 0.500, 0.250)
Al (0.500, 0.500, 0.750)
Cl (0.000, 0.000, 0.064)
Cl (0.000, 0.000, 0.436)

***

Record 10
Computed, not measured: a relaxed structure of V2PdS6 at the PBE-GGA level of DFT.

Summary:
density = 4.1 g/cm3
formation energy (no corrections) = -0.471 eV/atom

a b c (Å): 5.613 5.613 10.307
angles (deg): 90.00 90.00 90.00
Fractional coordinates of all 18 atoms:
S (0.300, 0.300, 0.823)
S (0.700, 0.700, 0.823)
S (0.700, 0.700, 0.177)
V (0.500, 0.500, 0.652)
S (0.800, 0.200, 0.677)
S (0.797, 0.203, 0.000)
V (0.000, 0.000, 0.848)
V (0.500, 0.500, 0.348)
S (0.800, 0.200, 0.323)
Pd (0.500, 0.500, 0.000)
S (0.300, 0.300, 0.177)
V (0.000, 0.000, 0.152)
S (0.297, 0.297, 0.500)
S (0.703, 0.703, 0.500)
S (0.203, 0.797, 0.000)
Pd (0.000, 0.000, 0.500)
S (0.200, 0.800, 0.323)
S (0.200, 0.800, 0.677)

***

Record 11
Computed, not measured: a relaxed structure of ScNiPtRh at the PBE-GGA level of DFT.

Summary:
excess energy over the best structure of this formula in the dataset = 0.000 eV/atom
density = 11.2 g/cm3

a b c (Å): 3.774 3.915 4.013
angles (deg): 90.00 90.00 90.00
Fractional coordinates of all 4 atoms:
Sc (0.000, 0.500, 0.500)
Pt (0.500, 0.500, 0.000)
Rh (0.500, 0.000, 0.500)
Ni (0.000, 0.000, 0.000)

***

Record 12
Computed, not measured: a relaxed structure of ReGeBOs2 at the PBE-GGA level of DFT.

Summary:
DFT total energy = -32.57 eV/cell
density = 11.8 g/cm3

a b c (Å): 4.485 4.564 4.485
angles (deg): 90.00 90.00 90.00
Fractional coordinates of all 5 atoms:
Os (0.500, 0.000, 0.000)
Re (0.000, 0.500, 0.000)
Os (0.000, 0.000, 0.500)
Ge (0.000, 0.000, 0.000)
B (0.500, 0.500, 0.500)

***

Record 13
Computed, not measured: a relaxed structure of Tm2PuTcN4 at the PBE-GGA level of DFT.

Summary:
density = 11.1 g/cm3
formation energy (no corrections) = -1.061 eV/atom

a b c (Å): 3.333 5.986 11.484
angles (deg): 90.00 90.00 106.17
Fractional coordinates of all 16 atoms:
Tm (0.369, 0.739, 0.959)
N (0.266, 0.532, 0.373)
Tc (0.856, 0.711, 0.750)
N (0.540, 0.080, 0.250)
N (0.000, 0.000, 0.500)
N (0.734, 0.468, 0.627)
N (0.266, 0.532, 0.127)
N (0.734, 0.468, 0.873)
Tm (0.369, 0.739, 0.541)
Pu (0.115, 0.230, 0.750)
Tc (0.144, 0.289, 0.250)
N (0.460, 0.920, 0.750)
Pu (0.885, 0.770, 0.250)
Tm (0.631, 0.261, 0.459)
Tm (0.631, 0.261, 0.041)
N (0.000, 0.000, 0.000)

***

Record 14
Computed, not measured: a relaxed structure of TlGeCl3 at the PBE-GGA level of DFT.

Summary:
density = 3.7 g/cm3
formation energy (no corrections) = -0.897 eV/atom

a b c (Å): 12.110 8.720 8.720
angles (deg): 72.88 111.77 68.23
Fractional coordinates of all 20 atoms:
Ge (0.295, 0.265, 0.536)
Cl (0.901, 0.105, 0.112)
Cl (0.152, 0.552, 0.512)
Cl (0.401, 0.388, 0.395)
Cl (0.099, 0.895, 0.888)
Cl (0.369, 0.753, 0.806)
Cl (0.848, 0.448, 0.488)
Tl (0.250, 0.835, 0.335)
Cl (0.599, 0.612, 0.605)
Cl (0.131, 0.306, 0.253)
Cl (0.631, 0.247, 0.194)
Tl (0.250, 0.461, 0.961)
Tl (0.750, 0.165, 0.665)
Cl (0.652, 0.988, 0.948)
Tl (0.750, 0.539, 0.039)
Ge (0.205, 0.036, 0.765)
Cl (0.869, 0.694, 0.747)
Ge (0.705, 0.735, 0.464)
Cl (0.348, 0.012, 0.052)
Ge (0.795, 0.964, 0.235)

***

Record 15
Computed, not measured: a relaxed structure of Pm3Ni5Sn6 at the PBE-GGA level of DFT.

Summary:
DFT total energy = -147.35 eV/cell
density = 8.4 g/cm3

a b c (Å): 4.363 9.575 13.571
angles (deg): 90.00 90.00 90.00
Fractional coordinates of all 28 atoms:
Sn (0.500, 0.023, 0.342)
Ni (0.500, 0.464, 0.383)
Sn (0.000, 0.604, 0.331)
Ni (0.500, 0.464, 0.617)
Pm (0.000, 0.254, 0.703)
Sn (0.500, 0.960, 0.000)
Pm (0.500, 0.746, 0.797)
Ni (0.500, 0.125, 0.154)
Pm (0.000, 0.256, 0.000)
Ni (0.500, 0.125, 0.846)
Sn (0.500, 0.023, 0.658)
Pm (0.500, 0.744, 0.500)
Pm (0.500, 0.746, 0.203)
Sn (0.000, 0.407, 0.500)
Sn (0.000, 0.040, 0.500)
Sn (0.000, 0.977, 0.158)
Sn (0.500, 0.396, 0.831)
Ni (0.500, 0.222, 0.500)
Ni (0.000, 0.536, 0.117)
Pm (0.000, 0.254, 0.297)
Ni (0.000, 0.875, 0.346)
Ni (0.000, 0.875, 0.654)
Sn (0.000, 0.604, 0.669)
Sn (0.000, 0.977, 0.842)
Ni (0.000, 0.536, 0.883)
Ni (0.000, 0.778, 0.000)
Sn (0.500, 0.593, 0.000)
Sn (0.500, 0.396, 0.169)

***

Record 16
Computed, not measured: a relaxed structure of LaZn4Ga12 at the PBE-GGA level of DFT.

Summary:
DFT total energy = -46.89 eV/cell
density = 6.0 g/cm3

a b c (Å): 7.651 7.651 7.651
angles (deg): 109.47 109.47 109.47
Fractional coordinates of all 17 atoms:
Ga (0.493, 0.848, 0.645)
Ga (0.152, 0.645, 0.797)
La (0.000, 0.000, 0.000)
Zn (0.000, 0.500, 0.000)
Ga (0.507, 0.152, 0.355)
Zn (0.000, 0.000, 0.500)
Ga (0.355, 0.203, 0.848)
Zn (0.500, 0.500, 0.500)
Ga (0.203, 0.848, 0.355)
Ga (0.152, 0.355, 0.507)
Ga (0.797, 0.152, 0.645)
Ga (0.645, 0.797, 0.152)
Ga (0.848, 0.645, 0.493)
Ga (0.645, 0.493, 0.848)
Zn (0.500, 0.000, 0.000)
Ga (0.848, 0.355, 0.203)
Ga (0.355, 0.507, 0.152)

***

Record 17
Computed, not measured: a relaxed structure of HgMoW2 at the PBE-GGA level of DFT.

Summary:
DFT total energy = -34.73 eV/cell
density = 16.2 g/cm3

a b c (Å): 5.458 5.458 2.759
angles (deg): 79.57 79.57 117.88
Fractional coordinates of all 4 atoms:
Mo (0.000, 0.500, 0.500)
W (0.500, 0.500, 0.000)
Hg (0.500, 0.000, 0.500)
W (0.000, 0.000, 0.000)

***

Record 18
Computed, not measured: a relaxed structure of CaZr2Tc at the PBE-GGA level of DFT.

Summary:
excess energy over the best structure of this formula in the dataset = 0.461 eV/atom
density = 6.2 g/cm3

a b c (Å): 4.961 4.961 4.961
angles (deg): 60.00 60.00 60.00
Fractional coordinates of all 4 atoms:
Ca (0.500, 0.500, 0.500)
Tc (0.250, 0.250, 0.250)
Zr (0.000, 0.000, 0.000)
Zr (0.750, 0.750, 0.750)

***

Record 19
Computed, not measured: a relaxed structure of LiPuTeO2 at the PBE-GGA level of DFT.

Summary:
density = 7.2 g/cm3
formation energy (no corrections) = -1.993 eV/atom

a b c (Å): 3.823 3.823 7.021
angles (deg): 105.80 105.80 90.00
Fractional coordinates of all 5 atoms:
O (0.750, 0.250, 0.500)
Li (0.805, 0.805, 0.610)
Pu (0.177, 0.177, 0.354)
O (0.250, 0.750, 0.500)
Te (0.518, 0.518, 0.036)

***

Record 20
Computed, not measured: a relaxed structure of Ca2SbRu at the PBE-GGA level of DFT.

Summary:
density = 5.2 g/cm3
formation energy (no corrections) = -0.121 eV/atom

a b c (Å): 3.327 3.327 8.718
angles (deg): 90.00 90.00 90.10
Fractional coordinates of all 4 atoms:
Ru (0.500, 0.500, 0.250)
Ca (0.000, 0.000, 0.037)
Ca (0.000, 0.000, 0.463)
Sb (0.500, 0.500, 0.750)

***

no.,volume (Å³/cell),DOS at the Fermi energy (states/eV/cell)
1,72,1.37
2,60,2.62
3,65,2.13
4,247,3.93
5,184,9.12
6,291,10.95
7,120,1.15
8,111,0.00
9,86,4.57
10,325,12.06
11,59,4.87
12,92,5.03
13,220,12.70
14,688,0.00
15,567,18.53
16,345,8.54
17,68,1.55
18,86,6.54
19,95,4.63
20,97,4.78